Record 1
YMgZr2 | PBE | optimized geometry

Lattice parameters (Å, degrees): 8.2317 8.2317 6.5536 51.10 51.10 90.00
Fractional coordinates of all 8 atoms:
Zr (0.1455, 0.6250, 0.2500)
Zr (0.8750, 0.8545, 0.7500)
Zr (0.6045, 0.1250, 0.2500)
Zr (0.3750, 0.3955, 0.7500)
Mg (0.2500, 0.7500, 0.5000)
Mg (0.5000, 0.5000, 0.0000)
Y (0.7500, 0.2500, 0.5000)
Y (0.0000, 0.0000, 0.0000)

Calculated values
Total magnetization ... 0.00 μB/cell
Electronic total energy ... -23.13 eV per formula unit



Record 2
Pm2Dy3Sc | PBE | optimized geometry

Lattice parameters (Å, degrees): 6.1091 9.3433 10.6126 129.07 125.34 77.36
Fractional coordinates of all 12 atoms:
Dy (0.7098, 0.3780, 0.4192)
Dy (0.0425, 0.3690, 0.0825)
Dy (0.3730, 0.3768, 0.7486)
Dy (0.2902, 0.6220, 0.5808)
Dy (0.6270, 0.6232, 0.2514)
Dy (0.9575, 0.6310, 0.9175)
Pm (0.5352, 0.8785, 0.0827)
Pm (0.7877, 0.1252, 0.5836)
Pm (0.2123, 0.8748, 0.4164)
Pm (0.4648, 0.1215, 0.9173)
Sc (0.1231, 0.1269, 0.2478)
Sc (0.8769, 0.8731, 0.7522)

Calculated values
Total magnetization ... 0.00 μB/cell
Electronic total energy ... -29.43 eV per formula unit
E above lowest polymorph ... 0 meV/atom



Record 3
RbLiAl | PBE | optimized geometry

Lattice parameters (Å, degrees): 12.8550 4.5776 7.9225 90.00 100.91 90.00
Fractional coordinates of all 12 atoms:
Li (0.4770, 0.5000, 0.0806)
Li (0.4770, 0.0000, 0.5806)
Li (0.5952, 0.5000, 0.7826)
Li (0.5952, 0.0000, 0.2826)
Al (0.4355, 0.5000, 0.4012)
Al (0.3870, 0.5000, 0.7189)
Al (0.4355, 0.0000, 0.9012)
Al (0.3870, 0.0000, 0.2189)
Rb (0.8285, 0.5000, 0.1898)
Rb (0.1798, 0.5000, 0.9883)
Rb (0.1798, 0.0000, 0.4883)
Rb (0.8285, 0.0000, 0.6898)

Calculated values
Total magnetization ... 0.00 μB/cell
Electronic total energy ... -6.48 eV per formula unit
E above lowest polymorph ... 30 meV/atom